The following is a DFT calculation (PBE) of a geometry-optimized SrCa2Ge2 structure.

Structure (extended XYZ):
```
10
Lattice="8.936 0.000 0.000 0.000 8.936 0.000 0.000 0.000 3.579" Properties=species:S:1:pos:R:3 pbc="T T T"
Sr 0.000 0.000 0.000
Sr 4.468 4.468 0.000
Ca 1.170 3.298 1.789
Ca 3.298 7.766 1.789
Ca 5.638 1.170 1.789
Ca 7.766 5.638 1.789
Ge 1.516 5.984 0.000
Ge 2.952 1.516 0.000
Ge 5.984 7.421 0.000
Ge 7.421 2.952 0.000
```

The total magnetization is 0.0 μB per cell. Its total energy is -34.48 eV/cell. As for the energy of formation: -0.46 eV/atom. The density of states at the Fermi level comes out at 5.930 states/eV per cell. The calculation puts the energy above the most stable polymorph in this dataset at 0 meV per atom.


The following is a DFT calculation (PBE) of a geometry-optimized SrCaGe3 structure.

Structure (extended XYZ):
```
5
Lattice="5.542 0.000 0.000 0.000 5.542 0.000 0.000 0.000 5.542" Properties=species:S:1:pos:R:3 pbc="T T T"
Sr 0.000 0.000 0.000
Ca 2.771 2.771 2.771
Ge 0.000 0.000 2.771
Ge 0.000 2.771 0.000
Ge 2.771 0.000 0.000
```

The total magnetization is 0.0 μB per cell. Its total energy is -14.32 eV/cell. As for the energy of formation: 0.64 eV/atom. The density of states at the Fermi level comes out at 4.490 states/eV per cell. The calculation puts the energy above the most stable polymorph in this dataset at 1178 meV per atom.


The following is a DFT calculation (PBE) of a geometry-optimized SrCaGe2 structure.

Structure (extended XYZ):
```
4
Lattice="4.819 0.000 0.000 0.000 4.819 0.000 0.000 0.000 4.415" Properties=species:S:1:pos:R:3 pbc="T T T"
Sr 0.000 0.000 0.000
Ca 2.410 2.410 0.000
Ge 0.000 2.410 2.208
Ge 2.410 0.000 2.208
```

The total magnetization is 0.0 μB per cell. Its total energy is -14.67 eV/cell. As for the energy of formation: -0.44 eV/atom. The density of states at the Fermi level comes out at 0.973 states/eV per cell.


The following is a DFT calculation (PBE) of a geometry-optimized Sr2Ca2Ge structure.

Structure (extended XYZ):
```
5
Lattice="-2.226 2.226 10.283 2.226 -2.226 10.283 2.226 2.226 -10.283" Properties=species:S:1:pos:R:3 pbc="T T T"
Sr 0.000 0.000 1.706
Sr 0.000 0.000 18.861
Ca 2.226 0.000 5.142
Ca 0.000 2.226 5.142
Ge 0.000 0.000 10.283
```

The total magnetization is 0.0 μB per cell. Its total energy is -11.11 eV/cell. As for the energy of formation: 0.17 eV/atom. The density of states at the Fermi level comes out at 5.319 states/eV per cell.